Entry 1:
SrLi2Os | GGA-PBEsol | optimized geometry

The structure belongs to space group Cm (No. 8); the cell edges are 8.763, 2.754 and 6.879 Å and the angles 90.00°, 93.70° and 90.00°. The distinct sites, in fractional coordinates, are Sr at (0.000, 0.000, 0.000), Li at (0.013, 0.500, 0.579), Li at (0.268, 0.500, 0.403) and Os at (0.256, 0.000, 0.734).

The total energy comes out at -3.913 eV/atom. The energy above the most stable polymorph in this dataset comes out at 0.070 eV per atom. The energy of formation from the pure elements is 2.3 eV per formula unit.



Entry 2:
GaAu2 | GGA-PBEsol | optimized geometry

The structure belongs to space group Cmc2_1 (No. 36); the cell edges are 3.284, 17.740 and 6.874 Å and the angles 90.00°, 90.00° and 90.00°. The distinct sites, in fractional coordinates, are Ga at (0.000, 0.059, 0.000), Ga at (0.000, 0.290, 0.967), Au at (0.000, 0.086, 0.372), Au at (0.000, 0.170, 0.744), Au at (0.000, 0.323, 0.599) and Au at (0.000, 0.464, 0.194).

The total energy comes out at -3.906 eV/atom. The energy of formation from the pure elements is -0.5 eV per formula unit.



Entry 3:
Mn5V4O12 | GGA-PBEsol | optimized geometry

The structure belongs to space group C2/c (No. 15); the cell edges are 8.410, 8.559 and 13.068 Å and the angles 90.00°, 106.84° and 90.00°. The distinct sites, in fractional coordinates, are Mn at (0.000, 0.134, 0.250), Mn at (0.166, 0.379, 0.087), Mn at (0.166, 0.490, 0.834), V at (0.000, 0.000, 0.000), V at (0.082, 0.240, 0.662), V at (0.250, 0.250, 0.500), O at (0.010, 0.236, 0.502), O at (0.075, 0.470, 0.670), O at (0.090, 0.006, 0.658), O at (0.147, 0.244, 0.822), O at (0.183, 0.263, 0.342) and O at (0.239, 0.015, 0.504).

The value obtained for the uncorrected formation energy is -1813 meV per atom. The total energy comes out at -8.972 eV/atom.



Entry 4:
MgScMo2 | GGA-PBEsol | optimized geometry

The structure belongs to space group P2/m (No. 10); the cell edges are 2.752, 4.732 and 5.450 Å and the angles 90.00°, 101.76° and 90.00°. The distinct sites, in fractional coordinates, are Mg at (0.000, 0.000, 0.000), Sc at (0.500, 0.000, 0.500) and Mo at (0.207, 0.500, 0.728).

The total energy comes out at -7.671 eV/atom. The energy of formation from the pure elements is 1.2 eV per formula unit.